# MnGePCN

A geometry-optimized MnGePCN structure (GGA-PBE, Alexandria via LeMat-Bulk).

Geometry as POSCAR:
```
MnGePCN
1.0
6.646 0.000 -0.019
0.000 2.629 0.000
-6.063 0.000 8.489
P Ge Mn C N
2 2 2 2 2
Cartesian
-2.339 0.000 4.406 P
0.693 1.314 0.162 P
-0.721 0.000 2.593 Ge
-3.752 1.314 6.837 Ge
5.408 0.000 0.041 Mn
2.377 1.314 4.285 Mn
0.981 0.000 3.701 C
-2.050 1.314 7.945 C
1.071 0.000 4.998 N
4.103 1.314 0.754 N
```

Properties
- raw total energy (eV per atom) = -6.86
- energy above the lowest structure with this stoichiometry (eV/atom) = 0.3981
- formation energy without anion corrections (eV per formula unit) = 2.46